# 1
Density functional theory data (PBE) for an optimized crystal structure of NaIn2Pt.

Geometry as CIF:
```
data_NaIn2Pt
_chemical_formula_sum 'Na1 In2 Pt1'
_symmetry_space_group_name_H-M 'P 1'
_symmetry_Int_Tables_number 1
_cell_length_a 3.3644
_cell_length_b 3.3644
_cell_length_c 7.9859
_cell_angle_alpha 90.00
_cell_angle_beta 90.00
_cell_angle_gamma 90.00
loop_
_symmetry_equiv_pos_as_xyz
'x,y,z'
loop_
_atom_site_label
_atom_site_fract_x
_atom_site_fract_y
_atom_site_fract_z
_atom_site_occupancy
Na1 0.5000 0.5000 0.5000 1
Pt1 0.5000 0.5000 0.0000 1
In1 0.0000 0.0000 0.7964 1
In2 0.0000 0.0000 0.2036 1
```

Results
crystal system	tetragonal
DOS at the Fermi energy	1.83	states/eV/cell
total energy	-3.49	eV/atom
space group	No. 123
magnetization	0.00	μB/f.u.

=====

# 2
Density functional theory data (PBE) for an optimized crystal structure of Na3In2Pt2.

Geometry as CIF:
```
data_Na3In2Pt2
_chemical_formula_sum 'Na12 In8 Pt8'
_symmetry_space_group_name_H-M 'P 1'
_symmetry_Int_Tables_number 1
_cell_length_a 5.9335
_cell_length_b 8.3759
_cell_length_c 14.0362
_cell_angle_alpha 90.00
_cell_angle_beta 90.00
_cell_angle_gamma 90.00
loop_
_symmetry_equiv_pos_as_xyz
'x,y,z'
loop_
_atom_site_label
_atom_site_fract_x
_atom_site_fract_y
_atom_site_fract_z
_atom_site_occupancy
Na1 0.6248 0.2422 0.7500 1
Na2 0.6248 0.2578 0.2500 1
Na3 0.3752 0.7422 0.7500 1
Na4 0.1397 0.1092 0.0930 1
Na5 0.8603 0.6092 0.0930 1
Na6 0.1397 0.3908 0.9070 1
Na7 0.3752 0.7578 0.2500 1
Na8 0.1397 0.3908 0.5930 1
Na9 0.8603 0.8908 0.9070 1
Na10 0.8603 0.6092 0.4070 1
Na11 0.8603 0.8908 0.5930 1
Na12 0.1397 0.1092 0.4070 1
Pt1 0.6364 0.5295 0.9109 1
Pt2 0.3636 0.0295 0.9109 1
Pt3 0.6364 0.9705 0.4109 1
Pt4 0.3636 0.4705 0.0891 1
Pt5 0.6364 0.5295 0.5891 1
Pt6 0.3636 0.4705 0.4109 1
Pt7 0.6364 0.9705 0.0891 1
Pt8 0.3636 0.0295 0.5891 1
In1 0.3765 0.7500 0.5000 1
In2 0.3765 0.7500 0.0000 1
In3 0.6235 0.2500 0.5000 1
In4 0.8487 0.9140 0.2500 1
In5 0.6235 0.2500 0.0000 1
In6 0.1513 0.0860 0.7500 1
In7 0.1513 0.4140 0.2500 1
In8 0.8487 0.5860 0.7500 1
```

Results
crystal system	orthorhombic
DOS at the Fermi energy	8.73	states/eV/cell
total energy	-3.37	eV/atom
space group	No. 57
magnetization	0.00	μB/f.u.

=====

# 3
Density functional theory data (PBE) for an optimized crystal structure of RbNaIn2Pt.

Geometry as CIF:
```
data_RbNaIn2Pt
_chemical_formula_sum 'Rb1 Na1 In2 Pt1'
_symmetry_space_group_name_H-M 'P 1'
_symmetry_Int_Tables_number 1
_cell_length_a 5.2458
_cell_length_b 5.2458
_cell_length_c 6.3531
_cell_angle_alpha 90.00
_cell_angle_beta 90.00
_cell_angle_gamma 90.00
loop_
_symmetry_equiv_pos_as_xyz
'x,y,z'
loop_
_atom_site_label
_atom_site_fract_x
_atom_site_fract_y
_atom_site_fract_z
_atom_site_occupancy
In1 0.0000 0.5000 0.0000 1
In2 0.5000 0.0000 0.0000 1
Pt1 0.0000 0.0000 0.0000 1
Na1 0.5000 0.5000 0.5000 1
Rb1 0.0000 0.0000 0.5000 1
```

Results
crystal system	tetragonal
DOS at the Fermi energy	2.78	states/eV/cell
total energy	-2.89	eV/atom
space group	No. 123
magnetization	0.00	μB/f.u.

=====

# 4
Density functional theory data (PBE) for an optimized crystal structure of RbNaIn2Pt.

Geometry as CIF:
```
data_RbNaIn2Pt
_chemical_formula_sum 'Rb1 Na1 In2 Pt1'
_symmetry_space_group_name_H-M 'P 1'
_symmetry_Int_Tables_number 1
_cell_length_a 5.2308
_cell_length_b 5.2308
_cell_length_c 5.7953
_cell_angle_alpha 90.00
_cell_angle_beta 90.00
_cell_angle_gamma 90.00
loop_
_symmetry_equiv_pos_as_xyz
'x,y,z'
loop_
_atom_site_label
_atom_site_fract_x
_atom_site_fract_y
_atom_site_fract_z
_atom_site_occupancy
Pt1 0.0000 0.0000 0.0000 1
In1 0.5000 0.0000 0.0000 1
In2 0.0000 0.5000 0.0000 1
Na1 0.0000 0.0000 0.5000 1
Rb1 0.5000 0.5000 0.5000 1
```

Results
crystal system	tetragonal
DOS at the Fermi energy	2.19	states/eV/cell
total energy	-3.03	eV/atom
space group	No. 123
magnetization	0.00	μB/f.u.

=====

# 5
Density functional theory data (PBE) for an optimized crystal structure of NaIn4PtRh2.

Geometry as CIF:
```
data_NaIn4PtRh2
_chemical_formula_sum 'Na1 In4 Pt1 Rh2'
_symmetry_space_group_name_H-M 'P 1'
_symmetry_Int_Tables_number 1
_cell_length_a 4.6987
_cell_length_b 4.6987
_cell_length_c 8.1072
_cell_angle_alpha 73.15
_cell_angle_beta 73.15
_cell_angle_gamma 60.00
loop_
_symmetry_equiv_pos_as_xyz
'x,y,z'
loop_
_atom_site_label
_atom_site_fract_x
_atom_site_fract_y
_atom_site_fract_z
_atom_site_occupancy
Rh1 0.2523 0.2523 0.2430 1
Rh2 0.7477 0.7477 0.7570 1
In1 0.1288 0.1288 0.6135 1
In2 0.3777 0.3777 0.8670 1
In3 0.8712 0.8712 0.3865 1
In4 0.6223 0.6223 0.1330 1
Pt1 0.5000 0.5000 0.5000 1
Na1 0.0000 0.0000 0.0000 1
```

Results
crystal system	trigonal
DOS at the Fermi energy	3.91	states/eV/cell
total energy	-4.40	eV/atom
space group	No. 166
magnetization	0.00	μB/f.u.

=====

# 6
Density functional theory data (PBE) for an optimized crystal structure of Na2InSb3Pt4.

Geometry as CIF:
```
data_Na2InSb3Pt4
_chemical_formula_sum 'Na2 In1 Sb3 Pt4'
_symmetry_space_group_name_H-M 'P 1'
_symmetry_Int_Tables_number 1
_cell_length_a 4.6833
_cell_length_b 4.6833
_cell_length_c 10.5494
_cell_angle_alpha 90.00
_cell_angle_beta 90.00
_cell_angle_gamma 90.00
loop_
_symmetry_equiv_pos_as_xyz
'x,y,z'
loop_
_atom_site_label
_atom_site_fract_x
_atom_site_fract_y
_atom_site_fract_z
_atom_site_occupancy
Pt1 0.0000 0.5000 0.3722 1
Pt2 0.5000 0.5000 0.0000 1
Pt3 0.0000 0.0000 0.0000 1
Pt4 0.5000 0.0000 0.6278 1
In1 0.5000 0.5000 0.5000 1
Sb1 0.5000 0.0000 0.8757 1
Sb2 0.0000 0.0000 0.5000 1
Sb3 0.0000 0.5000 0.1243 1
Na1 0.5000 0.0000 0.2343 1
Na2 0.0000 0.5000 0.7657 1
```

Results
crystal system	tetragonal
DOS at the Fermi energy	4.21	states/eV/cell
formation energy (no corrections)	-0.4504	eV per atom
total energy	-4.64	eV/atom
space group	No. 115
magnetization	0.00	μB/f.u.

=====

# 7
Density functional theory data (PBE) for an optimized crystal structure of NaScInPt.

Geometry as CIF:
```
data_NaScInPt
_chemical_formula_sum 'Na1 Sc1 In1 Pt1'
_symmetry_space_group_name_H-M 'P 1'
_symmetry_Int_Tables_number 1
_cell_length_a 4.7665
_cell_length_b 4.7665
_cell_length_c 4.7665
_cell_angle_alpha 60.00
_cell_angle_beta 60.00
_cell_angle_gamma 60.00
loop_
_symmetry_equiv_pos_as_xyz
'x,y,z'
loop_
_atom_site_label
_atom_site_fract_x
_atom_site_fract_y
_atom_site_fract_z
_atom_site_occupancy
In1 0.2500 0.2500 0.2500 1
Na1 0.5000 0.5000 0.5000 1
Pt1 0.0000 0.0000 0.0000 1
Sc1 0.7500 0.7500 0.7500 1
```

Results
crystal system	cubic
DOS at the Fermi energy	3.76	states/eV/cell
total energy	-4.63	eV/atom
space group	No. 216
magnetization	0.00	μB/f.u.

=====

# 8
Density functional theory data (PBE) for an optimized crystal structure of NaIn2SiPt.

Geometry as CIF:
```
data_NaIn2SiPt
_chemical_formula_sum 'Na1 In2 Si1 Pt1'
_symmetry_space_group_name_H-M 'P 1'
_symmetry_Int_Tables_number 1
_cell_length_a 5.3776
_cell_length_b 4.6639
_cell_length_c 5.3776
_cell_angle_alpha 90.00
_cell_angle_beta 90.00
_cell_angle_gamma 90.00
loop_
_symmetry_equiv_pos_as_xyz
'x,y,z'
loop_
_atom_site_label
_atom_site_fract_x
_atom_site_fract_y
_atom_site_fract_z
_atom_site_occupancy
In1 0.5000 0.0000 0.0000 1
In2 0.0000 0.0000 0.5000 1
Pt1 0.0000 0.0000 0.0000 1
Si1 0.0000 0.5000 0.0000 1
Na1 0.5000 0.5000 0.5000 1
```

Results
crystal system	tetragonal
DOS at the Fermi energy	4.17	states/eV/cell
formation energy (no corrections)	0.0213	eV per atom
total energy	-3.63	eV/atom
space group	No. 123
magnetization	0.00	μB/f.u.

=====

# 9
Density functional theory data (PBE) for an optimized crystal structure of Na2InSi2Pt5.

Geometry as CIF:
```
data_Na2InSi2Pt5
_chemical_formula_sum 'Na4 In2 Si4 Pt10'
_symmetry_space_group_name_H-M 'P 1'
_symmetry_Int_Tables_number 1
_cell_length_a 3.5989
_cell_length_b 9.7161
_cell_length_c 9.7161
_cell_angle_alpha 90.00
_cell_angle_beta 90.00
_cell_angle_gamma 90.00
loop_
_symmetry_equiv_pos_as_xyz
'x,y,z'
loop_
_atom_site_label
_atom_site_fract_x
_atom_site_fract_y
_atom_site_fract_z
_atom_site_occupancy
Pt1 0.5000 0.2136 0.0705 1
Pt2 0.5000 0.4295 0.2864 1
Pt3 0.5000 0.5000 0.0000 1
Pt4 0.5000 0.2864 0.5705 1
Pt5 0.5000 0.9295 0.2136 1
Pt6 0.5000 0.7864 0.9295 1
Pt7 0.5000 0.0705 0.7864 1
Pt8 0.5000 0.0000 0.5000 1
Pt9 0.5000 0.7136 0.4295 1
Pt10 0.5000 0.5705 0.7136 1
Si1 0.0000 0.6255 0.8745 1
Si2 0.0000 0.1255 0.6255 1
Si3 0.0000 0.3745 0.1255 1
Si4 0.0000 0.8745 0.3745 1
In1 0.0000 0.0000 0.0000 1
In2 0.0000 0.5000 0.5000 1
Na1 0.0000 0.6735 0.1735 1
Na2 0.0000 0.3265 0.8265 1
Na3 0.0000 0.8265 0.6735 1
Na4 0.0000 0.1735 0.3265 1
```

Results
crystal system	tetragonal
DOS at the Fermi energy	8.43	states/eV/cell
formation energy (no corrections)	-0.5364	eV per atom
total energy	-5.18	eV/atom
space group	No. 127
magnetization	0.00	μB/f.u.

=====

# 10
Density functional theory data (PBE) for an optimized crystal structure of NaSr2In12Pt3.

Geometry as CIF:
```
data_NaSr2In12Pt3
_chemical_formula_sum 'Na1 Sr2 In12 Pt3'
_symmetry_space_group_name_H-M 'P 1'
_symmetry_Int_Tables_number 1
_cell_length_a 8.7950
_cell_length_b 8.7950
_cell_length_c 8.7950
_cell_angle_alpha 66.01
_cell_angle_beta 66.01
_cell_angle_gamma 66.01
loop_
_symmetry_equiv_pos_as_xyz
'x,y,z'
loop_
_atom_site_label
_atom_site_fract_x
_atom_site_fract_y
_atom_site_fract_z
_atom_site_occupancy
In1 0.1435 0.7334 0.7334 1
In2 0.8565 0.2666 0.2666 1
In3 0.7334 0.1435 0.7334 1
In4 0.5500 0.1667 0.1667 1
In5 0.4500 0.8333 0.8333 1
In6 0.1667 0.5500 0.1667 1
In7 0.7334 0.7334 0.1435 1
In8 0.1667 0.1667 0.5500 1
In9 0.2666 0.2666 0.8565 1
In10 0.8333 0.4500 0.8333 1
In11 0.8333 0.8333 0.4500 1
In12 0.2666 0.8565 0.2666 1
Sr1 0.4148 0.4148 0.4148 1
Sr2 0.5852 0.5852 0.5852 1
Pt1 0.5000 0.0000 0.0000 1
Pt2 0.0000 0.0000 0.5000 1
Pt3 0.0000 0.5000 0.0000 1
Na1 0.0000 0.0000 0.0000 1
```

Results
crystal system	trigonal
DOS at the Fermi energy	10.73	states/eV/cell
total energy	-3.24	eV/atom
space group	No. 166
magnetization	0.00	μB/f.u.

=====

# 11
Density functional theory data (PBE) for an optimized crystal structure of NaSr2InPt.

Geometry as CIF:
```
data_NaSr2InPt
_chemical_formula_sum 'Na1 Sr2 In1 Pt1'
_symmetry_space_group_name_H-M 'P 1'
_symmetry_Int_Tables_number 1
_cell_length_a 5.9467
_cell_length_b 5.9467
_cell_length_c 5.2475
_cell_angle_alpha 90.00
_cell_angle_beta 90.00
_cell_angle_gamma 90.00
loop_
_symmetry_equiv_pos_as_xyz
'x,y,z'
loop_
_atom_site_label
_atom_site_fract_x
_atom_site_fract_y
_atom_site_fract_z
_atom_site_occupancy
In1 0.0000 0.0000 0.5000 1
Sr1 0.0000 0.5000 0.0000 1
Sr2 0.5000 0.0000 0.0000 1
Na1 0.5000 0.5000 0.5000 1
Pt1 0.0000 0.0000 0.0000 1
```

Results
crystal system	tetragonal
DOS at the Fermi energy	3.74	states/eV/cell
total energy	-3.12	eV/atom
space group	No. 123
magnetization	0.00	μB/f.u.

=====

# 12
Density functional theory data (PBE) for an optimized crystal structure of Na2InTcPt.

Geometry as CIF:
```
data_Na2InTcPt
_chemical_formula_sum 'Na2 In1 Tc1 Pt1'
_symmetry_space_group_name_H-M 'P 1'
_symmetry_Int_Tables_number 1
_cell_length_a 5.2576
_cell_length_b 4.8898
_cell_length_c 5.2576
_cell_angle_alpha 90.00
_cell_angle_beta 90.00
_cell_angle_gamma 90.00
loop_
_symmetry_equiv_pos_as_xyz
'x,y,z'
loop_
_atom_site_label
_atom_site_fract_x
_atom_site_fract_y
_atom_site_fract_z
_atom_site_occupancy
Tc1 0.0000 0.5000 0.0000 1
In1 0.5000 0.5000 0.5000 1
Na1 0.0000 0.0000 0.5000 1
Na2 0.5000 0.0000 0.0000 1
Pt1 0.0000 0.0000 0.0000 1
```

Results
crystal system	tetragonal
DOS at the Fermi energy	3.84	states/eV/cell
total energy	-3.68	eV/atom
space group	No. 123
magnetization	2.03	μB/f.u.

=====

Repeat the ninth record exactly.
Density functional theory data (PBE) for an optimized crystal structure of Na2InSi2Pt5.

Geometry as CIF:
```
data_Na2InSi2Pt5
_chemical_formula_sum 'Na4 In2 Si4 Pt10'
_symmetry_space_group_name_H-M 'P 1'
_symmetry_Int_Tables_number 1
_cell_length_a 3.5989
_cell_length_b 9.7161
_cell_length_c 9.7161
_cell_angle_alpha 90.00
_cell_angle_beta 90.00
_cell_angle_gamma 90.00
loop_
_symmetry_equiv_pos_as_xyz
'x,y,z'
loop_
_atom_site_label
_atom_site_fract_x
_atom_site_fract_y
_atom_site_fract_z
_atom_site_occupancy
Pt1 0.5000 0.2136 0.0705 1
Pt2 0.5000 0.4295 0.2864 1
Pt3 0.5000 0.5000 0.0000 1
Pt4 0.5000 0.2864 0.5705 1
Pt5 0.5000 0.9295 0.2136 1
Pt6 0.5000 0.7864 0.9295 1
Pt7 0.5000 0.0705 0.7864 1
Pt8 0.5000 0.0000 0.5000 1
Pt9 0.5000 0.7136 0.4295 1
Pt10 0.5000 0.5705 0.7136 1
Si1 0.0000 0.6255 0.8745 1
Si2 0.0000 0.1255 0.6255 1
Si3 0.0000 0.3745 0.1255 1
Si4 0.0000 0.8745 0.3745 1
In1 0.0000 0.0000 0.0000 1
In2 0.0000 0.5000 0.5000 1
Na1 0.0000 0.6735 0.1735 1
Na2 0.0000 0.3265 0.8265 1
Na3 0.0000 0.8265 0.6735 1
Na4 0.0000 0.1735 0.3265 1
```

Results
crystal system	tetragonal
DOS at the Fermi energy	8.43	states/eV/cell
formation energy (no corrections)	-0.5364	eV per atom
total energy	-5.18	eV/atom
space group	No. 127
magnetization	0.00	μB/f.u.